[1]
This record from Alexandria describes crystalline Y2PbAu at its relaxed geometry. The functional is PBE.

E_form = -382 meV per atom
DOS at the Fermi energy = 1.065 states/eV/atom
SG = P4mm (99)

a = 3.655 Å, b = 3.655 Å, c = 8.307 Å
α = 90.00°, β = 90.00°, γ = 90.00°
Fractional positions:
Y 0.000 0.000 0.000
Y 0.500 0.500 0.317
Pb 0.500 0.500 0.733
Au 0.000 0.000 0.498

***

[2]
This record from Alexandria describes crystalline NdAgS2 at its relaxed geometry. The functional is PBE.

formation energy (no corrections) = -1.143 eV/atom
SG = R3m (160)

a = 7.010 Å, b = 7.010 Å, c = 7.010 Å
α = 33.14°, β = 33.14°, γ = 33.14°
Fractional positions:
Nd 0.000 0.000 0.000
Ag 0.828 0.828 0.828
S 0.249 0.249 0.249
S 0.420 0.420 0.420

***

[3]
This record from Alexandria describes crystalline CsRbTl2Pd at its relaxed geometry. The functional is PBE.

E_form = -17 meV per atom
DOS at the Fermi energy = 0.692 states/eV/atom
SG = P4/mmm (123)

a = 5.545 Å, b = 5.545 Å, c = 6.424 Å
α = 90.00°, β = 90.00°, γ = 90.00°
Fractional positions:
Cs 0.000 0.000 0.000
Rb 0.500 0.500 0.000
Tl 0.000 0.500 0.500
Tl 0.500 0.000 0.500
Pd 0.000 0.000 0.500

***

no.,total moment (Bohr magnetons per cell)
1,0.5
2,0.0
3,0.0